1.
Entry from Alexandria via LeMat-Bulk: a relaxed structure of Li3YAg7 (GGA-PBE).

abc: 6.2765 6.2765 5.7438
angles: 101.81 101.81 98.96
Last column: nearest neighbours and their distance in Å.
Positions (direct):
Li1 0.0000 0.0000 0.0000  4 Ag 2.68
Li2 0.2301 0.7699 0.5000  7 Ag 2.58-2.69
Li3 0.7699 0.2301 0.5000  7 Ag 2.58-2.69
Y1 0.5000 0.5000 0.0000  8 Ag 2.87-3.12
Ag1 0.0271 0.5825 0.8000  3 Li 2.58-2.69, 1 Ag 2.77
Ag2 0.1789 0.1789 0.5477  2 Li 2.60, 2 Ag 2.72-2.79
Ag3 0.4175 0.9729 0.2000  3 Li 2.58-2.69, 1 Ag 2.77
Ag4 0.5000 0.5000 0.5000  2 Li 2.58, 2 Ag 2.72, 2 Y 2.87
Ag5 0.5825 0.0271 0.8000  3 Li 2.58-2.69, 1 Ag 2.77
Ag6 0.8211 0.8211 0.4523  2 Li 2.60, 2 Ag 2.72-2.79
Ag7 0.9729 0.4175 0.2000  3 Li 2.58-2.69, 1 Ag 2.77

2.
Entry from Alexandria via LeMat-Bulk: a relaxed structure of Tb3PmPr2Er6 (GGA-PBE).

abc: 6.1876 6.1876 11.7483
angles: 95.02 95.02 119.97
Last column: nearest neighbours and their distance in Å.
Positions (direct):
Tb1 0.0000 0.0000 0.0000  6 Er 3.52, 6 Tb 3.57
Tb2 0.3334 0.6666 0.0000  6 Er 3.52, 6 Tb 3.57
Tb3 0.6666 0.3334 0.0000  6 Er 3.52, 6 Tb 3.57
Pm1 0.5000 0.5000 0.5000  6 Pr 3.57, 6 Er 3.58
Pr1 0.1666 0.8334 0.5000  3 Pr 3.57, 3 Pm 3.57, 6 Er 3.58-3.59
Pr2 0.8334 0.1666 0.5000  3 Pr 3.57, 3 Pm 3.57, 6 Er 3.58-3.59
Er1 0.0820 0.4151 0.2466  3 Tb 3.52, 6 Er 3.57-3.58, 2 Pr 3.58-3.59, 1 Pm 3.58
Er2 0.2520 0.2520 0.7534  3 Tb 3.52, 6 Er 3.57-3.58, 1 Pm 3.58, 2 Pr 3.59
Er3 0.4151 0.0820 0.2466  3 Tb 3.52, 6 Er 3.57-3.58, 2 Pr 3.58-3.59, 1 Pm 3.58
Er4 0.5849 0.9180 0.7534  3 Tb 3.52, 6 Er 3.57-3.58, 2 Pr 3.58-3.59, 1 Pm 3.58
Er5 0.7480 0.7480 0.2466  3 Tb 3.52, 6 Er 3.57-3.58, 1 Pm 3.58, 2 Pr 3.59
Er6 0.9180 0.5849 0.7534  3 Tb 3.52, 6 Er 3.57-3.58, 2 Pr 3.58-3.59, 1 Pm 3.58

Number 1: ΔH_f (0 K) -0.040 eV per atom. Number 2: ΔH_f (0 K) 0.019 eV per atom.